A geometry-optimized TiSn2F structure. Source: the Alexandria database, functional PBE.

abc: 10.661 10.661 10.661
angles: 157.74 157.74 31.68
Fractional positions:
Ti  0.000  0.000  0.000
Ti  0.750  0.250  0.500
Sn  0.123  0.625  0.998
Sn  0.375  0.373  0.498
Sn  0.627  0.125  0.002
Sn  0.875  0.877  0.502
F  0.250  0.750  0.500
F  0.500  0.500  0.000

Values from the calculation:
SG = I-42d (122)
formation energy (no corrections) = -300.1 meV/atom
M_tot = 1.17 μB per formula unit
raw total energy = -4.74 eV per atom
energy relative to the lowest polymorph listed for this composition = 75 meV per atom